1.
ZnOs3Pb: optimized geometry, PBE-GGA.

a = 4.973 Å, b = 4.973 Å, c = 4.973 Å
α = 90.00°, β = 90.00°, γ = 90.00°
Space group Pm-3m (No. 221)
Symmetry-distinct sites (fractional):
Zn  0.000  0.000  0.000 (multiplicity 1)
Os  0.000  0.500  0.500 (multiplicity 3)
Pb  0.500  0.500  0.500 (multiplicity 1)

Values from the calculation:
Theoretical density ... 11.4 g/cm³
DFT formation energy ... 3.08 eV per atom
Total magnetization ... 3.99 μB/f.u.
Offset from the most stable computed form ... 5.595 eV/f.u.



2.
ZnOsPb: optimized geometry, PBE-GGA.

a = 3.0981 Å, b = 3.0981 Å, c = 6.9347 Å
α = 90.00°, β = 90.00°, γ = 120.00°
Space group P3m1 (No. 156)
Symmetry-distinct sites (fractional):
Zn  0.0000  0.0000  0.0000 (multiplicity 1)
Os  0.6667  0.3333  0.2736 (multiplicity 1)
Pb  0.3333  0.6667  0.6055 (multiplicity 1)

Values from the calculation:
Theoretical density ... 13.3 g/cm³
DFT formation energy ... 0.70 eV per atom
Total magnetization ... 0.32 μB/f.u.
Offset from the most stable computed form ... 0.479 eV/f.u.



3.
ZnOsPb3: optimized geometry, PBE-GGA.

a = 5.228 Å, b = 5.228 Å, c = 5.228 Å
α = 90.00°, β = 90.00°, γ = 90.00°
Space group Pm-3m (No. 221)
Symmetry-distinct sites (fractional):
Zn  0.000  0.000  0.000 (multiplicity 1)
Os  0.500  0.500  0.500 (multiplicity 1)
Pb  0.000  0.000  0.500 (multiplicity 3)

Values from the calculation:
Theoretical density ... 10.2 g/cm³
DFT formation energy ... 1.37 eV per atom
Total magnetization ... 2.04 μB/f.u.
Offset from the most stable computed form ... 3.943 eV/f.u.



> Look up the DFT formation energy of the first one.

3.08 eV per atom



> Among the records above, which one has the highest DFT formation energy?

ZnOs3Pb